{"formula": "BeSeS3", "functional": "PBE", "state": "optimized geometry", "sg": "Pm-3m", "energy_ev_per_atom": -3.426, "magnetic_moment_mub_per_fu": 0.00, "e_form_raw_kj_per_mol_fu": 238, "n_ef_per_ev_cell": 3.912, "cell": [[-4.118, -1.299, 0.148], [0.469, -1.010, 4.174], [-1.220, 3.994, 1.104]], "species": ["S", "Be", "Se", "S", "S"], "frac_coords": [[0.000, 0.000, 0.500], [0.000, 0.000, 0.000], [0.500, 0.500, 0.500], [0.000, 0.500, 0.000], [0.500, 0.000, 0.000]]}

---

{"formula": "HoTm3Co2", "functional": "PBE", "state": "optimized geometry", "sg": "C2/m", "energy_ev_per_atom": -5.556, "magnetic_moment_mub_per_fu": 0.00, "n_ef_per_ev_cell": 14.073, "delta_e_f_ev_per_atom": -0.19, "cell": [[-1.208, 0.731, -3.439], [-5.960, -5.636, -1.114], [-8.159, 5.089, 1.938]], "species": ["Tm", "Tm", "Co", "Tm", "Co", "Co", "Tm", "Co", "Tm", "Tm", "Ho", "Ho"], "frac_coords": [[0.841, 0.073, 0.246], [0.584, 0.773, 0.059], [0.767, 0.417, 0.049], [0.416, 0.227, 0.941], [0.232, 0.084, 0.452], [0.768, 0.916, 0.548], [0.416, 0.730, 0.438], [0.233, 0.583, 0.951], [0.584, 0.270, 0.562], [0.159, 0.927, 0.754], [0.841, 0.573, 0.745], [0.159, 0.427, 0.255]]}

---

{"formula": "ErZr2Pa", "functional": "PBE", "state": "optimized geometry", "sg": "P4/mmm", "energy_ev_per_atom": -7.610, "magnetic_moment_mub_per_fu": 0.00, "n_ef_per_ev_cell": 7.034, "delta_e_f_ev_per_atom": 0.18, "cell": [[4.581, 0.000, 0.000], [0.000, 4.698, 0.000], [0.000, 0.000, 4.698]], "species": ["Er", "Zr", "Pa", "Zr"], "frac_coords": [[0.500, 0.000, 0.000], [0.000, 0.500, 0.000], [0.500, 0.500, 0.500], [0.000, 0.000, 0.500]]}

---

{"formula": "AlCo6Re", "functional": "PBE", "state": "optimized geometry", "sg": "Cmmm", "energy_ev_per_atom": -7.463, "magnetic_moment_mub_per_fu": 0.38, "n_ef_per_ev_cell": 38.521, "delta_e_f_ev_per_atom": -0.11, "cell": [[-1.965, -5.220, 2.599], [5.200, 1.843, 2.727], [-5.380, 5.337, 6.652]], "species": ["Co", "Al", "Co", "Co", "Co", "Re", "Re", "Co", "Co", "Co", "Al", "Al", "Co", "Co", "Co", "Co", "Co", "Al", "Re", "Co", "Co", "Co", "Co", "Co", "Co", "Co", "Co", "Co", "Co", "Co", "Co", "Re"], "frac_coords": [[0.500, 0.500, 0.250], [0.752, 0.248, 0.750], [0.374, 0.125, 0.876], [0.875, 0.626, 0.624], [0.877, 0.626, 0.373], [0.000, 0.000, 0.993], [0.249, 0.751, 0.250], [0.374, 0.123, 0.127], [0.248, 0.752, 0.002], [0.877, 0.626, 0.127], [0.500, 0.500, 0.502], [0.500, 0.500, 0.998], [0.374, 0.123, 0.373], [0.500, 0.500, 0.750], [0.125, 0.374, 0.876], [0.875, 0.626, 0.876], [0.123, 0.374, 0.373], [0.248, 0.752, 0.750], [0.000, 0.000, 0.507], [0.752, 0.248, 0.002], [0.248, 0.752, 0.498], [0.374, 0.125, 0.624], [0.626, 0.875, 0.876], [0.123, 0.374, 0.127], [0.752, 0.248, 0.498], [0.125, 0.374, 0.624], [0.626, 0.875, 0.624], [0.626, 0.877, 0.373], [0.000, 0.000, 0.750], [0.000, 0.000, 0.250], [0.626, 0.877, 0.127], [0.751, 0.249, 0.250]]}

---

{"formula": "Y2Os3Ru", "functional": "PBE", "state": "optimized geometry", "sg": "R-3m", "energy_ev_per_atom": -9.590, "magnetic_moment_mub_per_fu": 0.00, "n_ef_per_ev_cell": 6.545, "delta_e_f_ev_per_atom": -0.27, "cell": [[4.693, -0.137, -2.457], [-2.985, 4.372, -0.232], [-0.157, 0.185, 5.413]], "species": ["Y", "Ru", "Y", "Os", "Os", "Os"], "frac_coords": [[0.248, 0.624, 0.873], [0.000, 0.000, 0.000], [0.752, 0.376, 0.127], [0.000, 0.000, 0.500], [0.500, 0.000, 0.500], [0.500, 0.500, 0.500]]}

---

{"formula": "PrSbSO2", "functional": "PBE", "state": "optimized geometry", "sg": "P2_1/m", "energy_ev_per_atom": -6.558, "magnetic_moment_mub_per_fu": 0.00, "e_form_raw_kj_per_mol_fu": -950, "n_ef_per_ev_cell": 0.000, "cell": [[-1.646, -2.083, -3.117], [-0.436, -5.312, 3.781], [-6.650, 3.719, 1.026]], "species": ["Sb", "S", "Pr", "S", "O", "Pr", "O", "Sb", "O", "O"], "frac_coords": [[0.250, 0.674, 0.411], [0.750, 0.923, 0.193], [0.250, 0.710, 0.929], [0.250, 0.077, 0.807], [0.250, 0.476, 0.596], [0.750, 0.290, 0.071], [0.250, 0.486, 0.153], [0.750, 0.326, 0.589], [0.750, 0.524, 0.404], [0.750, 0.514, 0.847]]}

---

{"formula": "Y2HfCoIr", "functional": "PBE", "state": "optimized geometry", "sg": "P4/mmm", "energy_ev_per_atom": -7.422, "magnetic_moment_mub_per_fu": 1.08, "n_ef_per_ev_cell": 5.948, "delta_e_f_ev_per_atom": 0.35, "cell": [[-0.693, 4.155, -2.580], [-4.264, -1.494, -1.261], [-1.939, 2.159, 3.998]], "species": ["Y", "Co", "Hf", "Ir", "Y"], "frac_coords": [[0.000, 0.000, 0.500], [0.000, 0.000, 0.000], [0.500, 0.500, 0.500], [0.000, 0.500, 0.000], [0.500, 0.000, 0.000]]}

---

{"formula": "CaAgOs2", "functional": "PBE", "state": "optimized geometry", "sg": "F-43m", "energy_ev_per_atom": -6.155, "magnetic_moment_mub_per_fu": 0.00, "n_ef_per_ev_cell": 4.098, "delta_e_f_ev_per_atom": 0.67, "cell": [[-0.563, 3.390, 3.063], [-4.186, 1.770, 0.732], [-2.185, -0.822, 3.967]], "species": ["Os", "Ca", "Os", "Ag"], "frac_coords": [[0.000, 0.000, 0.000], [0.750, 0.750, 0.750], [0.250, 0.250, 0.250], [0.500, 0.500, 0.500]]}

---

{"formula": "Pr2Nd3Dy6Tm", "functional": "PBE", "state": "optimized geometry", "sg": "C2/m", "energy_ev_per_atom": -4.648, "magnetic_moment_mub_per_fu": 0.00, "n_ef_per_ev_cell": 14.510, "delta_e_f_ev_per_atom": 0.01, "cell": [[-0.810, -6.186, -0.192], [4.030, 2.741, -3.899], [7.480, -0.219, 9.237]], "species": ["Nd", "Dy", "Pr", "Dy", "Nd", "Dy", "Dy", "Pr", "Nd", "Tm", "Dy", "Dy"], "frac_coords": [[0.833, 0.167, 0.500], [0.585, 0.917, 0.751], [0.334, 0.666, 0.000], [0.249, 0.249, 0.750], [0.500, 0.500, 0.500], [0.917, 0.585, 0.751], [0.083, 0.415, 0.249], [0.666, 0.334, 0.000], [0.167, 0.833, 0.500], [0.000, 0.000, 0.000], [0.415, 0.083, 0.249], [0.751, 0.751, 0.250]]}

---

{"formula": "CsSr3", "functional": "PBE", "state": "optimized geometry", "sg": "Pmm2", "energy_ev_per_atom": -1.337, "magnetic_moment_mub_per_fu": 0.00, "n_ef_per_ev_cell": 5.257, "delta_e_f_ev_per_atom": 0.14, "cell": [[4.312, 0.000, 0.000], [0.000, 7.348, 0.000], [0.000, 0.000, 7.926]], "species": ["Sr", "Sr", "Cs", "Sr"], "frac_coords": [[0.000, 0.000, 0.994], [0.500, 0.000, 0.525], [0.000, 0.500, 0.323], [0.500, 0.500, 0.824]]}

---

{"formula": "MoIrAu2", "functional": "PBE", "state": "optimized geometry", "sg": "Cm", "energy_ev_per_atom": -6.349, "magnetic_moment_mub_per_fu": 0.00, "n_ef_per_ev_cell": 3.794, "delta_e_f_ev_per_atom": 0.21, "cell": [[-2.416, -3.584, -2.285], [0.247, -4.524, -1.836], [-1.580, -2.586, 3.959]], "species": ["Ir", "Au", "Au", "Mo"], "frac_coords": [[0.506, 0.506, 0.473], [0.753, 0.753, 0.757], [0.997, 0.997, 0.995], [0.244, 0.244, 0.275]]}

---

{"formula": "HgSe", "functional": "PBE", "state": "optimized geometry", "sg": "Pmmn", "energy_ev_per_atom": -1.832, "magnetic_moment_mub_per_fu": 0.00, "e_form_raw_kj_per_mol_fu": 12, "n_ef_per_ev_cell": 1.008, "cell": [[-1.755, 1.768, 1.629], [2.455, -2.064, 4.885], [3.838, 4.020, -0.230]], "species": ["Se", "Se", "Hg", "Hg"], "frac_coords": [[0.500, 0.500, 0.126], [0.000, 0.000, 0.624], [0.000, 0.000, 0.124], [0.500, 0.500, 0.626]]}